Compound: RbTa2Tc
Source: Alexandria via LeMat-Bulk
Functional: SCAN
Structure: single point on PBEsol structure

Properties
- Space-group type: Fm-3m (225)
- Crystal system: cubic
- VASP energy: -182.64 eV per formula unit
- Calculated formation energy: 1582 meV per atom
- Volume: 18.4 Å³ per atom

Cell lengths 4.705, 4.705, 4.705 Å; angles 60.00, 60.00, 60.00 degrees
Element x y z (fractional)
1 Rb 0.000 0.000 0.000
2 Ta 0.250 0.250 0.250
3 Ta 0.750 0.750 0.750
4 Tc 0.500 0.500 0.500


Compound: NbSnCBr2
Source: Alexandria via LeMat-Bulk
Functional: SCAN
Structure: single point on PBEsol structure

Properties
- Space-group type: P4/mmm (123)
- Crystal system: tetragonal
- VASP energy: -115.27 eV per formula unit
- Volume: 22.4 Å³ per atom
- Uncorrected formation energy: 0.56 eV/atom

Cell lengths 3.985, 5.302, 5.302 Å; angles 90.00, 90.00, 90.00 degrees
Element x y z (fractional)
1 Nb 0.000 0.000 0.000
2 C 0.500 0.000 0.000
3 Br 0.000 0.000 0.500
4 Br 0.000 0.500 0.000
5 Sn 0.500 0.500 0.500


Compound: Si2MoIr
Source: Alexandria via LeMat-Bulk
Functional: SCAN
Structure: single point on PBEsol structure

Properties
- Space-group type: I-4m2 (119)
- Crystal system: tetragonal
- VASP energy: -127.06 eV per formula unit
- Volume: 13.6 Å³ per atom
- Uncorrected formation energy: -0.26 eV/atom

Cell lengths 3.513, 3.513, 5.057 Å; angles 110.32, 110.32, 90.00 degrees
Element x y z (fractional)
1 Mo 0.250 0.750 0.500
2 Si 0.000 0.000 0.000
3 Si 0.750 0.250 0.500
4 Ir 0.500 0.500 0.000


Compound: DyB2Ir2
Source: Alexandria via LeMat-Bulk
Functional: SCAN
Structure: single point on PBEsol structure

Properties
- Space-group type: Fddd (70)
- Crystal system: orthorhombic
- VASP energy: -209.32 eV per formula unit
- Calculated formation energy: -893 meV per atom
- Volume: 14.3 Å³ per atom

Cell lengths 5.418, 5.418, 6.161 Å; angles 104.07, 104.07, 116.56 degrees
Element x y z (fractional)
1 Ir 0.124 0.624 0.248
2 Ir 0.376 0.876 0.752
3 Ir 0.874 0.874 0.748
4 Ir 0.126 0.126 0.252
5 B 0.819 0.181 0.000
6 B 0.069 0.931 0.500
7 B 0.431 0.569 0.500
8 B 0.181 0.819 0.000
9 Dy 0.750 0.250 0.500
10 Dy 0.500 0.500 0.000


Compound: Sc2ReSi
Source: Alexandria via LeMat-Bulk
Functional: SCAN
Structure: single point on PBEsol structure

Properties
- Space-group type: P4mm (99)
- Crystal system: tetragonal
- VASP energy: -110.98 eV per formula unit
- Volume: 17.6 Å³ per atom
- Uncorrected formation energy: -0.35 eV/atom

Cell lengths 3.229, 3.229, 6.747 Å; angles 90.00, 90.00, 90.00 degrees
Site moments in Bohr magnetons follow the coordinates.
Element x y z (fractional)
1 Sc 0.500 0.500 0.294  0.51
2 Sc 0.000 0.000 0.960  0.30
3 Re 0.500 0.500 0.701  -0.02
4 Si 0.000 0.000 0.545  0.00


Compound: TcNiI2
Source: Alexandria via LeMat-Bulk
Functional: SCAN
Structure: single point on PBEsol structure

Properties
- Space-group type: Fm-3m (225)
- Crystal system: cubic
- VASP energy: -120.34 eV per formula unit
- Volume: 18.1 Å³ per atom
- Uncorrected formation energy: 1.09 eV/atom

Cell lengths 4.679, 4.679, 4.679 Å; angles 60.00, 60.00, 60.00 degrees
Element x y z (fractional)
1 I 0.750 0.750 0.750
2 I 0.250 0.250 0.250
3 Ni 0.000 0.000 0.000
4 Tc 0.500 0.500 0.500